Entry from Alexandria: crystalline Zr4In3Ag at its relaxed geometry (PBE).

The structure belongs to space group I4/mmm (No. 139); the cell edges are 4.4450, 4.4450 and 17.4966 Å and the angles 90.00°, 90.00° and 90.00°. The asymmetric unit holds Zr at (0.0000, 0.5000, 0.1235), In at (0.0000, 0.0000, 0.0000), In at (0.0000, 0.0000, 0.2502) and Ag at (0.0000, 0.0000, 0.5000).

As for the volume: 21.61 Å³/atom. The mass density comes out at 7.9 g/cm3. For the magnetic moment, the calculation gives 0.0 μB per formula unit. The value obtained for the energy relative to the elements is -0.252 eV per atom.

---

Entry from Alexandria: crystalline TaGa2As4 at its relaxed geometry (PBE).

The structure belongs to space group I4/mmm (No. 139); the cell edges are 5.0742, 5.0742 and 12.9626 Å and the angles 90.00°, 90.00° and 90.00°. The asymmetric unit holds Ta at (0.0000, 0.0000, 0.0000), Ga at (0.0000, 0.0000, 0.3923), As at (0.0000, 0.0000, 0.2004) and As at (0.0000, 0.5000, 0.0000).

As for the volume: 23.84 Å³/atom. The mass density comes out at 6.2 g/cm3. For the magnetic moment, the calculation gives 0.0 μB per formula unit. The value obtained for the energy relative to the elements is 0.308 eV per atom.

---

Entry from Alexandria: crystalline CaY3Pt at its relaxed geometry (PBE).

The structure belongs to space group Pm-3m (No. 221); the cell edges are 5.2852, 5.2852 and 5.2852 Å and the angles 90.00°, 90.00° and 90.00°. The asymmetric unit holds Ca at (0.0000, 0.0000, 0.0000), Y at (0.0000, 0.0000, 0.5000) and Pt at (0.5000, 0.5000, 0.5000).

As for the volume: 29.53 Å³/atom. The mass density comes out at 5.6 g/cm3. For the magnetic moment, the calculation gives 0.0 μB per formula unit. The value obtained for the energy relative to the elements is 1.156 eV per atom.

---

Entry from Alexandria: crystalline LiOs2Au at its relaxed geometry (PBE).

The structure belongs to space group Fm-3m (No. 225); the cell edges are 6.1419, 6.1419 and 6.1419 Å and the angles 90.00°, 90.00° and 90.00°. The asymmetric unit holds Li at (0.0000, 0.0000, 0.0000), Os at (0.2500, 0.2500, 0.2500) and Au at (0.0000, 0.0000, 0.5000).

As for the volume: 14.48 Å³/atom. The mass density comes out at 16.8 g/cm3. For the magnetic moment, the calculation gives 0.0 μB per formula unit. The value obtained for the energy relative to the elements is 0.836 eV per atom.

---

Entry from Alexandria: crystalline LiYBr3 at its relaxed geometry (PBE).

The structure belongs to space group Pm-3m (No. 221); the cell edges are 4.9961, 4.9961 and 4.9961 Å and the angles 90.00°, 90.00° and 90.00°. The asymmetric unit holds Li at (0.0000, 0.0000, 0.0000), Y at (0.5000, 0.5000, 0.5000) and Br at (0.0000, 0.0000, 0.5000).

For the formation energy (no corrections), the calculation gives -5.30 eV per formula unit. As for the volume: 24.94 Å³/atom. The mass density comes out at 4.5 g/cm3. For the magnetic moment, the calculation gives 1.0 μB per formula unit.

---

Entry from Alexandria: crystalline Cu2AsCl at its relaxed geometry (PBE).

The structure belongs to space group Cmmm (No. 65); the cell edges are 3.2753, 5.8554 and 7.3545 Å and the angles 90.00°, 90.00° and 90.00°. The asymmetric unit holds Cu at (0.0000, 0.0000, 0.2453), As at (0.0000, 0.5000, 0.0000) and Cl at (0.0000, 0.5000, 0.5000).

For the formation energy (no corrections), the calculation gives 0.29 eV per formula unit. As for the volume: 17.63 Å³/atom. The mass density comes out at 5.6 g/cm3. For the magnetic moment, the calculation gives 0.0 μB per formula unit.

---

Entry from Alexandria: crystalline BaTb4Au3O12 at its relaxed geometry (PBE).

The structure belongs to space group Im-3 (No. 204); the cell edges are 8.3901, 8.3901 and 8.3901 Å and the angles 90.00°, 90.00° and 90.00°. The asymmetric unit holds Ba at (0.0000, 0.0000, 0.0000), Tb at (0.2500, 0.2500, 0.2500), Au at (0.0000, 0.0000, 0.5000) and O at (0.0000, 0.1597, 0.3162).

For the formation energy (no corrections), the calculation gives -41.49 eV per formula unit. As for the volume: 14.77 Å³/atom. The mass density comes out at 8.7 g/cm3. For the magnetic moment, the calculation gives 0.0 μB per formula unit.

---

Entry from Alexandria: crystalline RbOsRh at its relaxed geometry (PBE).

The structure belongs to space group P-6m2 (No. 187); the cell edges are 4.6781, 4.6781 and 8.1833 Å and the angles 90.00°, 90.00° and 120.00°. The asymmetric unit holds Rb at (0.0000, 0.0000, 0.0000), Rb at (0.0000, 0.0000, 0.5000), Os at (0.3333, 0.6667, 0.1435) and Rh at (0.6667, 0.3333, 0.1631).

As for the volume: 25.85 Å³/atom. The mass density comes out at 8.1 g/cm3. For the magnetic moment, the calculation gives 0.0 μB per formula unit. The value obtained for the energy relative to the elements is 1.288 eV per atom.

---

Entry from Alexandria: crystalline Sm4Ni3Bi8 at its relaxed geometry (PBE).

The structure belongs to space group P-4m2 (No. 115); the cell edges are 4.5712, 4.5712 and 19.0747 Å and the angles 90.00°, 90.00° and 90.00°. The asymmetric unit holds Sm at (0.0000, 0.5000, 0.1120), Sm at (0.0000, 0.5000, 0.6145), Ni at (0.0000, 0.0000, 0.0000), Ni at (0.0000, 0.0000, 0.5000), Ni at (0.5000, 0.5000, 0.5000), Bi at (0.0000, 0.0000, 0.2487), Bi at (0.0000, 0.5000, 0.4264), Bi at (0.0000, 0.5000, 0.9311) and Bi at (0.5000, 0.5000, 0.2489).

As for the volume: 26.57 Å³/atom. The mass density comes out at 10.2 g/cm3. For the magnetic moment, the calculation gives 0.0 μB per formula unit. The value obtained for the energy relative to the elements is -0.523 eV per atom.

---

Entry from Alexandria: crystalline La2Ce4In3 at its relaxed geometry (PBE).

The structure belongs to space group C2/m (No. 12); the cell edges are 11.4352, 5.4260 and 9.5928 Å and the angles 90.00°, 125.03° and 90.00°. The asymmetric unit holds La at (0.1586, 0.0000, 0.2712), Ce at (0.1431, 0.0000, 0.6068), Ce at (0.1832, 0.0000, 0.9450), In at (0.0000, 0.5000, 0.0000) and In at (0.0040, 0.5000, 0.3342).

As for the volume: 27.08 Å³/atom. The mass density comes out at 8.1 g/cm3. For the magnetic moment, the calculation gives 3.0 μB per formula unit. The value obtained for the energy relative to the elements is -0.219 eV per atom.

---

Entry from Alexandria: crystalline ZrNb3Mo at its relaxed geometry (PBE).

The structure belongs to space group Pm-3m (No. 221); the cell edges are 4.8168, 4.8168 and 4.8168 Å and the angles 90.00°, 90.00° and 90.00°. The asymmetric unit holds Zr at (0.0000, 0.0000, 0.0000), Nb at (0.0000, 0.0000, 0.5000) and Mo at (0.5000, 0.5000, 0.5000).

As for the volume: 22.35 Å³/atom. The mass density comes out at 6.9 g/cm3. For the magnetic moment, the calculation gives 0.0 μB per formula unit. The value obtained for the energy relative to the elements is 1.961 eV per atom.

---

Entry from Alexandria: crystalline UHg12F7 at its relaxed geometry (PBE).

The structure belongs to space group R-3m (No. 166, hexagonal axes); the cell edges are 19.7301, 19.7301 and 4.5621 Å and the angles 90.00°, 90.00° and 120.00°. The asymmetric unit holds U at (0.0000, 0.0000, 0.0000), Hg at (0.0000, 0.4138, 0.5000), Hg at (0.1001, 0.5500, 0.0071), F at (0.0000, 0.0000, 0.5000) and F at (0.0578, 0.1156, 0.8296).

For the formation energy (no corrections), the calculation gives -25.10 eV per formula unit. As for the volume: 25.63 Å³/atom. The mass density comes out at 9.0 g/cm3. For the magnetic moment, the calculation gives 0.3 μB per formula unit.

---

Entry from Alexandria: crystalline Pm2In2Ge3 at its relaxed geometry (PBE).

The structure belongs to space group C2/m (No. 12); the cell edges are 11.6167, 4.5162 and 7.8069 Å and the angles 90.00°, 116.82° and 90.00°. The asymmetric unit holds Pm at (0.0922, 0.0000, 0.2922), In at (0.1107, 0.5000, 0.7148), Ge at (0.0000, 0.5000, 0.0000) and Ge at (0.2436, 0.0000, 0.7323).

As for the volume: 26.11 Å³/atom. The mass density comes out at 6.7 g/cm3. For the magnetic moment, the calculation gives 0.0 μB per formula unit. The value obtained for the energy relative to the elements is -0.380 eV per atom.

---

Entry from Alexandria: crystalline TbTa2B6 at its relaxed geometry (PBE).

The structure belongs to space group P6/mmm (No. 191); the cell edges are 5.4696, 5.4696 and 3.4850 Å and the angles 90.00°, 90.00° and 120.00°. The asymmetric unit holds Tb at (0.0000, 0.0000, 0.0000), Ta at (0.3333, 0.6667, 0.0000) and B at (0.0000, 0.3396, 0.5000).

As for the volume: 10.03 Å³/atom. The mass density comes out at 10.8 g/cm3. For the magnetic moment, the calculation gives 0.0 μB per formula unit. The value obtained for the energy relative to the elements is -0.659 eV per atom.

---

Entry from Alexandria: crystalline CrSiTe at its relaxed geometry (PBE).

The structure belongs to space group P3m1 (No. 156); the cell edges are 3.2853, 3.2853 and 5.6835 Å and the angles 90.00°, 90.00° and 120.00°. The asymmetric unit holds Cr at (0.0000, 0.0000, 0.0000), Si at (0.3333, 0.6667, 0.2642) and Te at (0.6667, 0.3333, 0.6844).

For the formation energy (no corrections), the calculation gives 0.83 eV per formula unit. As for the volume: 17.71 Å³/atom. The mass density comes out at 6.5 g/cm3. For the magnetic moment, the calculation gives 0.0 μB per formula unit.

---

Entry from Alexandria: crystalline NaSi3Cl at its relaxed geometry (PBE).

The structure belongs to space group Pm-3m (No. 221); the cell edges are 5.1164, 5.1164 and 5.1164 Å and the angles 90.00°, 90.00° and 90.00°. The asymmetric unit holds Na at (0.0000, 0.0000, 0.0000), Si at (0.0000, 0.0000, 0.5000) and Cl at (0.5000, 0.5000, 0.5000).

For the formation energy (no corrections), the calculation gives 7.35 eV per formula unit. As for the volume: 26.79 Å³/atom. The mass density comes out at 1.8 g/cm3. For the magnetic moment, the calculation gives 0.0 μB per formula unit.

---

Entry from Alexandria: crystalline NaIn4Ag2Pd at its relaxed geometry (PBE).

The structure belongs to space group R-3m (No. 166, hexagonal axes); the cell edges are 4.7409, 4.7409 and 27.7353 Å and the angles 90.00°, 90.00° and 120.00°. The asymmetric unit holds Na at (0.0000, 0.0000, 0.0000), In at (0.0000, 0.0000, 0.1325), In at (0.0000, 0.0000, 0.3934), Ag at (0.0000, 0.0000, 0.2445) and Pd at (0.0000, 0.0000, 0.5000).

As for the volume: 22.49 Å³/atom. The mass density comes out at 7.4 g/cm3. For the magnetic moment, the calculation gives 0.0 μB per formula unit. The value obtained for the energy relative to the elements is -0.117 eV per atom.

---

Entry from Alexandria: crystalline AsPtSeN2 at its relaxed geometry (PBE).

The structure belongs to space group P4/mmm (No. 123); the cell edges are 3.7427, 3.7427 and 8.7474 Å and the angles 90.00°, 90.00° and 90.00°. The asymmetric unit holds As at (0.0000, 0.0000, 0.0000), Pt at (0.5000, 0.5000, 0.5000), Se at (0.5000, 0.5000, 0.0000) and N at (0.0000, 0.5000, 0.5000).

For the formation energy (no corrections), the calculation gives 5.67 eV per formula unit. As for the volume: 24.51 Å³/atom. The mass density comes out at 5.1 g/cm3. For the magnetic moment, the calculation gives 0.4 μB per formula unit.

---

Entry from Alexandria: crystalline SmHf2Ru3 at its relaxed geometry (PBE).

The structure belongs to space group P4/mmm (No. 123); the cell edges are 3.2901, 3.2901 and 10.1152 Å and the angles 90.00°, 90.00° and 90.00°. The asymmetric unit holds Sm at (0.0000, 0.0000, 0.0000), Hf at (0.0000, 0.0000, 0.3387), Ru at (0.5000, 0.5000, 0.1898) and Ru at (0.5000, 0.5000, 0.5000).

As for the volume: 18.25 Å³/atom. The mass density comes out at 12.3 g/cm3. For the magnetic moment, the calculation gives 0.0 μB per formula unit. The value obtained for the energy relative to the elements is -0.602 eV per atom.

---

Entry from Alexandria: crystalline Sm2Co3B12Os at its relaxed geometry (PBE).

The structure belongs to space group R-3m (No. 166, hexagonal axes); the cell edges are 5.4194, 5.4194 and 22.9966 Å and the angles 90.00°, 90.00° and 120.00°. The asymmetric unit holds Sm at (0.0000, 0.0000, 0.1394), Co at (0.0000, 0.5000, 0.0000), B at (0.0822, 0.5411, 0.0891), B at (0.1054, 0.2108, 0.7352) and Os at (0.0000, 0.0000, 0.5000).

As for the volume: 10.83 Å³/atom. The mass density comes out at 6.8 g/cm3. For the magnetic moment, the calculation gives 2.1 μB per formula unit. The value obtained for the energy relative to the elements is 0.058 eV per atom.

---

Entry from Alexandria: crystalline Pm4Ag5Pd2 at its relaxed geometry (PBE).

The structure belongs to space group P2/m (No. 10); the cell edges are 7.4739, 3.7688 and 9.3981 Å and the angles 90.00°, 95.79° and 90.00°. The asymmetric unit holds Pm at (0.1861, 0.0000, 0.3643), Pm at (0.2431, 0.0000, 0.9376), Ag at (0.1762, 0.5000, 0.6443), Ag at (0.4581, 0.5000, 0.1883), Ag at (0.5000, 0.5000, 0.5000) and Pd at (0.0713, 0.5000, 0.1421).

As for the volume: 23.94 Å³/atom. The mass density comes out at 8.4 g/cm3. For the magnetic moment, the calculation gives 0.0 μB per formula unit. The value obtained for the energy relative to the elements is -0.412 eV per atom.

---

Entry from Alexandria: crystalline Mg6CdIr at its relaxed geometry (PBE).

The structure belongs to space group C2/m (No. 12); the cell edges are 6.3372, 10.7286 and 6.0557 Å and the angles 90.00°, 118.11° and 90.00°. The asymmetric unit holds Mg at (0.2240, 0.2057, 0.2431), Mg at (0.2360, 0.0000, 0.7622), Cd at (0.0000, 0.5000, 0.5000) and Ir at (0.0000, 0.0000, 0.0000).

As for the volume: 22.70 Å³/atom. The mass density comes out at 4.1 g/cm3. For the magnetic moment, the calculation gives 0.0 μB per formula unit. The value obtained for the energy relative to the elements is 0.072 eV per atom.

---

Entry from Alexandria: crystalline NbBTeI2 at its relaxed geometry (PBE).

The structure belongs to space group P4/mmm (No. 123); the cell edges are 5.7006, 5.7006 and 5.3897 Å and the angles 90.00°, 90.00° and 90.00°. The asymmetric unit holds Nb at (0.0000, 0.0000, 0.0000), B at (0.5000, 0.5000, 0.5000), Te at (0.0000, 0.0000, 0.5000) and I at (0.0000, 0.5000, 0.0000).

For the formation energy (no corrections), the calculation gives 5.28 eV per formula unit. As for the volume: 35.03 Å³/atom. The mass density comes out at 4.6 g/cm3. For the magnetic moment, the calculation gives 1.8 μB per formula unit.

---

Entry from Alexandria: crystalline HfCo2HgTe at its relaxed geometry (PBE).

The structure belongs to space group P4/mmm (No. 123); the cell edges are 4.7890, 4.7890 and 5.4747 Å and the angles 90.00°, 90.00° and 90.00°. The asymmetric unit holds Hf at (0.0000, 0.0000, 0.0000), Co at (0.0000, 0.5000, 0.0000), Hg at (0.5000, 0.5000, 0.5000) and Te at (0.0000, 0.0000, 0.5000).

For the formation energy (no corrections), the calculation gives 5.22 eV per formula unit. As for the volume: 25.11 Å³/atom. The mass density comes out at 8.3 g/cm3. For the magnetic moment, the calculation gives 2.5 μB per formula unit.